Arrangement 1

# CaHoMgCd, optimized geometry, DFT GGA-PBE
# D(E_F) (states/eV per cell): 3.384
# Total magnetization (μB/cell): 0.0
data_CaHoMgCd
_chemical_formula_sum 'Ca1 Ho1 Mg1 Cd1'
_space_group_name_H-M_alt 'P 1'
_space_group_IT_number 1
_cell_length_a 3.836
_cell_length_b 3.836
_cell_length_c 7.591
_cell_angle_alpha 90.00
_cell_angle_beta 90.00
_cell_angle_gamma 90.00
loop_
_space_group_symop_operation_xyz
'x,y,z'
loop_
_atom_site_label
_atom_site_type_symbol
_atom_site_fract_x
_atom_site_fract_y
_atom_site_fract_z
Ca1 Ca 0.000 0.000 0.000
Ho1 Ho 0.000 0.000 0.485
Mg1 Mg 0.500 0.500 0.729
Cd1 Cd 0.500 0.500 0.259

Arrangement 2

# CaHoMgCd, optimized geometry, DFT GGA-PBE
# D(E_F) (states/eV per cell): 3.574
# Total magnetization (μB/cell): 0.0
data_CaHoMgCd
_chemical_formula_sum 'Ca1 Ho1 Mg1 Cd1'
_space_group_name_H-M_alt 'P 1'
_space_group_IT_number 1
_cell_length_a 5.383
_cell_length_b 5.383
_cell_length_c 5.383
_cell_angle_alpha 60.00
_cell_angle_beta 60.00
_cell_angle_gamma 60.00
loop_
_space_group_symop_operation_xyz
'x,y,z'
loop_
_atom_site_label
_atom_site_type_symbol
_atom_site_fract_x
_atom_site_fract_y
_atom_site_fract_z
Ca1 Ca 0.000 0.000 0.000
Ho1 Ho 0.500 0.500 0.500
Mg1 Mg 0.250 0.250 0.250
Cd1 Cd 0.750 0.750 0.750

Tell me which of them is the least stable. Sure, it is arrangement 2.